[1]
The following is a DFT calculation (PBE-GGA) of a relaxed structure of Li2SmIn2.

Values from the calculation:
**Size of the total moment**: 0.000 μB/atom
**Energy relative to the lowest polymorph listed for this composition**: 0.00 eV/f.u.
**Energy of formation from the pure elements**: -30.66 kJ per mole of atoms

abc: 5.081 4.834 9.928
angles: 90.00 104.34 90.00
Space group P2_1/m (No. 11)
One atom of each set of equivalent atoms:
1 Li 0.047 0.250 0.081 (multiplicity 2)
2 Li 0.151 0.750 0.299 (multiplicity 2)
3 Sm 0.349 0.750 0.699 (multiplicity 2)
4 In 0.240 0.250 0.483 (multiplicity 2)
5 In 0.463 0.250 0.913 (multiplicity 2)

[2]
The following is a DFT calculation (PBE-GGA) of a relaxed structure of CsHg2AuCl8.

Values from the calculation:
**Size of the total moment**: 0.000 μB/atom
**E_tot**: -2.3760 eV/atom

abc: 6.999 7.323 9.445
angles: 77.03 82.82 72.01
Space group P-1 (No. 2)
One atom of each set of equivalent atoms:
1 Cs 0.000 0.000 0.000 (multiplicity 1)
2 Hg 0.482 0.489 0.709 (multiplicity 2)
3 Au 0.000 0.000 0.500 (multiplicity 1)
4 Cl 0.020 0.759 0.711 (multiplicity 2)
5 Cl 0.046 0.762 0.362 (multiplicity 2)
6 Cl 0.441 0.270 0.925 (multiplicity 2)
7 Cl 0.459 0.264 0.480 (multiplicity 2)

[3]
The following is a DFT calculation (PBE-GGA) of a relaxed structure of PrThTe2.

Values from the calculation:
**Size of the total moment**: 0.000 μB/atom
**Energy relative to the lowest polymorph listed for this composition**: 0.09 eV/f.u.

abc: 4.495 4.495 6.360
angles: 90.00 90.00 90.00
Space group P4/mmm (No. 123)
One atom of each set of equivalent atoms:
1 Pr 0.000 0.000 0.000 (multiplicity 1)
2 Th 0.500 0.500 0.500 (multiplicity 1)
3 Te 0.000 0.000 0.500 (multiplicity 1)
4 Te 0.500 0.500 0.000 (multiplicity 1)